[1]
Crystalline ThSb2Pb at its relaxed geometry. Source: the Alexandria database, functional PBE-GGA.

a = 4.165 Å, b = 4.165 Å, c = 6.757 Å
α = 90.00°, β = 90.00°, γ = 90.00°
Atoms (fractional coordinates):
1 Th 0.000 0.000 0.000
2 Sb 0.500 0.500 0.235
3 Sb 0.500 0.500 0.765
4 Pb 0.000 0.000 0.500

Calculated values
- symmetry = No. 123
- mass density (Mg/m³) = 9.67
- ΔE_f (raw) (meV per atom) = -460
- total energy (eV per formula unit) = -21.21
- ΔE to the lowest computed polymorph (eV per atom) = 0.003

[2]
Crystalline Pr2Zn5Cu4 at its relaxed geometry. Source: the Alexandria database, functional PBE-GGA.

a = 9.237 Å, b = 8.497 Å, c = 5.252 Å
α = 80.67°, β = 65.20°, γ = 34.13°
Atoms (fractional coordinates):
1 Pr 0.133 0.133 0.867
2 Pr 0.867 0.867 0.133
3 Zn 0.000 0.000 0.500
4 Zn 0.250 0.250 0.250
5 Zn 0.500 0.500 0.000
6 Zn 0.500 0.500 0.500
7 Zn 0.750 0.750 0.750
8 Cu 0.216 0.524 0.476
9 Cu 0.476 0.784 0.216
10 Cu 0.524 0.216 0.784
11 Cu 0.784 0.476 0.524

Calculated values
- symmetry = No. 69
- mass density (Mg/m³) = 7.33
- ΔE_f (eV per atom) = -0.25
- total energy (eV per formula unit) = -35.07

[3]
Crystalline AcPr5Pb5 at its relaxed geometry. Source: the Alexandria database, functional PBE-GGA.

a = 8.057 Å, b = 8.057 Å, c = 9.122 Å
α = 105.99°, β = 105.99°, γ = 48.09°
Atoms (fractional coordinates):
1 Ac 0.000 0.000 0.000
2 Pr 0.000 0.000 0.500
3 Pr 0.329 0.329 0.162
4 Pr 0.339 0.339 0.665
5 Pr 0.661 0.661 0.335
6 Pr 0.671 0.671 0.838
7 Pb 0.169 0.169 0.345
8 Pb 0.169 0.169 0.821
9 Pb 0.500 0.500 0.000
10 Pb 0.831 0.831 0.179
11 Pb 0.831 0.831 0.655

Calculated values
- symmetry = No. 12
- mass density (Mg/m³) = 7.78
- ΔE_f (eV per atom) = -0.33
- total energy (eV per formula unit) = -50.14

[4]
Crystalline Ce3MgH3 at its relaxed geometry. Source: the Alexandria database, functional PBE-GGA.

a = 6.488 Å, b = 6.488 Å, c = 6.488 Å
α = 90.00°, β = 90.00°, γ = 90.00°
Atoms (fractional coordinates):
1 Ce 0.000 0.250 0.500
2 Ce 0.000 0.750 0.500
3 Ce 0.250 0.500 0.000
4 Ce 0.500 0.000 0.250
5 Ce 0.500 0.000 0.750
6 Ce 0.750 0.500 0.000
7 Mg 0.000 0.000 0.000
8 Mg 0.500 0.500 0.500
9 H 0.000 0.500 0.250
10 H 0.000 0.500 0.750
11 H 0.250 0.000 0.500
12 H 0.500 0.250 0.000
13 H 0.500 0.750 0.000
14 H 0.750 0.000 0.500

Calculated values
- symmetry = No. 223
- mass density (Mg/m³) = 5.44
- total energy (eV per formula unit) = -30.84

[5]
Crystalline LiGaSb2Pt at its relaxed geometry. Source: the Alexandria database, functional PBE-GGA.

a = 5.331 Å, b = 5.331 Å, c = 4.723 Å
α = 90.00°, β = 90.00°, γ = 90.00°
Atoms (fractional coordinates):
1 Li 0.000 0.000 0.000
2 Ga 0.500 0.500 0.500
3 Sb 0.000 0.500 0.500
4 Sb 0.500 0.000 0.500
5 Pt 0.500 0.500 0.000

Calculated values
- symmetry = No. 123
- mass density (Mg/m³) = 6.37
- ΔE_f (raw) (meV per atom) = 305
- total energy (eV per formula unit) = -17.70

[6]
Crystalline AcSnPd at its relaxed geometry. Source: the Alexandria database, functional PBE-GGA.

a = 6.111 Å, b = 6.111 Å, c = 7.889 Å
α = 126.40°, β = 126.40°, γ = 45.32°
Atoms (fractional coordinates):
1 Ac 0.054 0.054 0.319
2 Ac 0.946 0.946 0.681
3 Sn 0.332 0.332 0.908
4 Sn 0.668 0.668 0.092
5 Pd 0.333 0.333 0.292
6 Pd 0.667 0.667 0.708

Calculated values
- symmetry = No. 12
- mass density (Mg/m³) = 9.36
- ΔE_f (eV per atom) = -0.79
- total energy (eV per formula unit) = -15.68
- ΔE to the lowest computed polymorph (eV per atom) = 0.056

Question: Which of these has the lowest total energy?
Answer: AcPr5Pb5

What did the third record say?
Crystalline AcPr5Pb5 at its relaxed geometry. Source: the Alexandria database, functional PBE-GGA.

a = 8.057 Å, b = 8.057 Å, c = 9.122 Å
α = 105.99°, β = 105.99°, γ = 48.09°
Atoms (fractional coordinates):
1 Ac 0.000 0.000 0.000
2 Pr 0.000 0.000 0.500
3 Pr 0.329 0.329 0.162
4 Pr 0.339 0.339 0.665
5 Pr 0.661 0.661 0.335
6 Pr 0.671 0.671 0.838
7 Pb 0.169 0.169 0.345
8 Pb 0.169 0.169 0.821
9 Pb 0.500 0.500 0.000
10 Pb 0.831 0.831 0.179
11 Pb 0.831 0.831 0.655

Calculated values
- symmetry = No. 12
- mass density (Mg/m³) = 7.78
- ΔE_f (eV per atom) = -0.33
- total energy (eV per formula unit) = -50.14

Question: total energy of number 4 (Ce3MgH3)?
Answer: -30.84 eV per formula unit